[1]
DFT (PBE) results for GaCu2Si2 after structural relaxation.

POSCAR file:
```
GaCu2Si2
1.0
7.640 0.000 0.000
0.000 7.640 0.000
0.000 0.000 2.507
Cu Si Ga
4 4 2
direct
0.159 0.341 0.000
0.341 0.841 0.000
0.659 0.159 0.000
0.841 0.659 0.000
0.864 0.364 0.500
0.636 0.864 0.500
0.364 0.136 0.500
0.136 0.636 0.500
0.000 0.000 0.000
0.500 0.500 0.000
```

Results
* distance to the lowest polymorph of the same formula: 41 meV/atom
* formation energy without anion corrections: 167.1 meV/atom
* total DFT energy (no corrections): -4.246 eV/atom
* crystal system: tetragonal

=====

[2]
DFT (PBE) results for Rb2CdHBr6 after structural relaxation.

POSCAR file:
```
Rb2CdHBr6
1.0
-1.220 4.484 5.518
-0.781 -5.650 4.418
5.029 -0.455 6.198
Rb H Br Cd
2 1 6 1
direct
0.250 0.750 0.500
0.750 0.250 0.500
0.500 0.500 0.000
0.217 0.217 0.566
0.783 0.783 0.434
0.720 0.720 0.000
0.280 0.720 0.000
0.280 0.280 0.000
0.720 0.280 0.000
0.000 0.000 0.000
```

Results
* total DFT energy (no corrections): -2.371 eV/atom
* crystal system: tetragonal

=====

[3]
DFT (PBE) results for Dy2ZrSc after structural relaxation.

POSCAR file:
```
Dy2ZrSc
1.0
5.369 0.000 0.000
2.684 4.650 0.000
2.684 1.550 4.384
Dy Sc Zr
2 1 1
direct
0.750 0.750 0.750
0.250 0.250 0.250
0.000 0.000 0.000
0.500 0.500 0.500
```

Results
* distance to the lowest polymorph of the same formula: 104 meV/atom
* calculated formation energy: 186 meV per atom
* total DFT energy (no corrections): -5.835 eV/atom
* crystal system: cubic

=====

[4]
DFT (PBE) results for MgMnMoH after structural relaxation.

POSCAR file:
```
MgMnMoH
1.0
-1.805 1.365 1.929
0.550 -2.119 2.013
8.440 5.798 3.797
Mo H Mn Mg
2 2 2 2
direct
0.500 0.500 0.404
0.000 0.000 0.904
0.500 0.500 0.932
0.000 0.000 0.432
0.500 0.500 0.779
0.000 0.000 0.279
0.000 0.000 0.617
0.500 0.500 0.117
```

Results
* distance to the lowest polymorph of the same formula: 79 meV/atom
* total DFT energy (no corrections): -6.084 eV/atom
* crystal system: tetragonal

=====

[5]
DFT (PBE) results for Na2In12Pd7 after structural relaxation.

POSCAR file:
```
Na2In12Pd7
1.0
-3.560 0.497 -2.618
-1.949 -10.747 0.610
-4.447 6.790 7.335
In Pd Na
12 7 2
direct
0.500 0.393 0.310
0.000 0.493 0.530
0.500 0.540 0.752
0.000 0.821 0.747
0.500 0.690 0.083
0.500 0.917 0.607
0.000 0.253 0.074
0.500 0.212 0.460
0.000 0.470 0.963
0.500 0.248 0.788
0.000 0.037 0.507
0.000 0.926 0.179
0.000 0.333 0.667
0.000 0.690 0.908
0.500 0.427 0.083
0.000 0.092 0.782
0.500 0.917 0.344
0.500 0.656 0.573
0.000 0.218 0.310
0.000 0.667 0.333
0.500 0.000 0.000
```

Results
* calculated formation energy: -348 meV per atom
* total DFT energy (no corrections): -3.770 eV/atom
* crystal system: hexagonal

=====

[6]
DFT (PBE) results for Nd6Y2HoTm3 after structural relaxation.

POSCAR file:
```
Nd6Y2HoTm3
1.0
6.259 0.000 0.008
-3.128 5.421 0.008
-1.055 -1.827 11.609
Nd Y Tm Ho
6 2 3 1
direct
0.916 0.583 0.748
0.583 0.916 0.748
0.084 0.417 0.252
0.752 0.752 0.252
0.417 0.084 0.252
0.248 0.248 0.748
0.667 0.333 0.000
0.333 0.667 0.000
0.167 0.833 0.500
0.500 0.500 0.500
0.833 0.167 0.500
0.000 0.000 0.000
```

Results
* calculated formation energy: 13 meV per atom
* total DFT energy (no corrections): -4.948 eV/atom
* crystal system: monoclinic

=====

no.,DOS at the Fermi energy (states/eV per atom)
1,0.41
2,0.72
3,1.82
4,0.47
5,0.40
6,1.07